# 1
First-principles (PBE) data for an optimized crystal structure of Na2CaBi, as listed in the Alexandria database.

abc: 4.7536 4.7536 5.4824
angles: 90.00 90.00 90.00
Space group P4/mmm (No. 123)
Unique sites:
Na (0.0000, 0.5000, 0.0000) (multiplicity 2)
Ca (0.0000, 0.0000, 0.5000) (multiplicity 1)
Bi (0.5000, 0.5000, 0.5000) (multiplicity 1)

Values from the calculation:
spin magnetization: 0.19 μB per atom
crystal system: tetragonal
DFT formation energy: -0.38 eV/atom

---

# 2
First-principles (PBE) data for an optimized crystal structure of Na2Ca2Bi, as listed in the Alexandria database.

abc: 4.2803 4.2803 19.6873
angles: 90.00 90.00 90.00
Space group I4/mmm (No. 139)
Unique sites:
Na (0.0000, 0.5000, 0.2500) (multiplicity 4)
Ca (0.0000, 0.0000, 0.0838) (multiplicity 4)
Bi (0.0000, 0.0000, 0.5000) (multiplicity 2)

Values from the calculation:
spin magnetization: 0.00 μB per atom
crystal system: tetragonal
excess energy over the best structure of this formula in the dataset: 0 meV/atom
DFT formation energy: -0.18 eV/atom

---

# 3
First-principles (PBE) data for an optimized crystal structure of Na2CaBi6, as listed in the Alexandria database.

abc: 18.0434 7.0375 5.1638
angles: 90.00 106.43 90.00
Space group Cm (No. 8)
Unique sites:
Na (0.0000, 0.0000, 0.0000) (multiplicity 2)
Na (0.2164, 0.0000, 0.2157) (multiplicity 2)
Ca (0.1082, 0.5000, 0.1057) (multiplicity 2)
Bi (0.1082, 0.2369, 0.6060) (multiplicity 4)
Bi (0.3029, 0.2787, 0.8025) (multiplicity 4)
Bi (0.4135, 0.2213, 0.4155) (multiplicity 4)

Values from the calculation:
spin magnetization: 0.00 μB per atom
crystal system: monoclinic
DFT formation energy: -0.24 eV/atom

---

# 4
First-principles (PBE) data for an optimized crystal structure of NaCaBi2, as listed in the Alexandria database.

abc: 4.1484 4.1484 7.0922
angles: 90.00 90.00 90.00
Space group P4/mmm (No. 123)
Unique sites:
Na (0.0000, 0.0000, 0.0000) (multiplicity 1)
Ca (0.0000, 0.0000, 0.5000) (multiplicity 1)
Bi (0.5000, 0.5000, 0.2549) (multiplicity 2)

Values from the calculation:
spin magnetization: 0.00 μB per atom
crystal system: tetragonal
excess energy over the best structure of this formula in the dataset: 42 meV/atom
DFT formation energy: -0.49 eV/atom

---

# 5
First-principles (PBE) data for an optimized crystal structure of Na2CaBi, as listed in the Alexandria database.

abc: 4.6900 4.6900 24.4868
angles: 90.00 90.00 90.00
Space group I-42d (No. 122)
Unique sites:
Na (0.2188, 0.2500, 0.1250) (multiplicity 8)
Ca (0.0000, 0.0000, 0.5000) (multiplicity 4)
Bi (0.0000, 0.0000, 0.0000) (multiplicity 4)

Values from the calculation:
spin magnetization: 0.00 μB per atom
crystal system: tetragonal
DFT formation energy: -0.26 eV/atom

---

# 6
First-principles (PBE) data for an optimized crystal structure of NaCaBi, as listed in the Alexandria database.

abc: 5.1435 5.1435 4.2382
angles: 90.00 90.00 120.00
Space group P3m1 (No. 156)
Unique sites:
Na (0.0000, 0.0000, 0.0000) (multiplicity 1)
Ca (0.6667, 0.3333, 0.4519) (multiplicity 1)
Bi (0.3333, 0.6667, 0.7946) (multiplicity 1)

Values from the calculation:
spin magnetization: 0.00 μB per atom
crystal system: trigonal
DFT formation energy: -0.44 eV/atom

---

# 7
First-principles (PBE) data for an optimized crystal structure of Na2Ca4Bi, as listed in the Alexandria database.

abc: 6.0105 6.0105 17.7050
angles: 90.00 90.00 90.00
Space group I4/mmm (No. 139)
Unique sites:
Na (0.0000, 0.0000, 0.1228) (multiplicity 4)
Ca (0.0000, 0.0000, 0.3192) (multiplicity 4)
Ca (0.0000, 0.5000, 0.0000) (multiplicity 4)
Bi (0.0000, 0.0000, 0.5000) (multiplicity 2)

Values from the calculation:
spin magnetization: 0.00 μB per atom
crystal system: tetragonal
DFT formation energy: -0.02 eV/atom

---

# 8
First-principles (PBE) data for an optimized crystal structure of NaCaBi2, as listed in the Alexandria database.

abc: 5.0639 5.0639 18.9376
angles: 90.00 90.00 120.00
Space group R3m (No. 160, hexagonal axes)
Unique sites:
Na (0.0000, 0.0000, 0.0000) (multiplicity 3)
Ca (0.0000, 0.0000, 0.8141) (multiplicity 3)
Bi (0.0000, 0.0000, 0.2400) (multiplicity 3)
Bi (0.0000, 0.0000, 0.4024) (multiplicity 3)

Values from the calculation:
spin magnetization: 0.00 μB per atom
crystal system: trigonal
excess energy over the best structure of this formula in the dataset: 156 meV/atom
DFT formation energy: -0.38 eV/atom

---

# 9
First-principles (PBE) data for an optimized crystal structure of Na7CaBi4, as listed in the Alexandria database.

abc: 14.3424 5.7821 11.9077
angles: 90.00 126.73 90.00
Space group C2/m (No. 12)
Unique sites:
Na (0.0000, 0.0000, 0.0000) (multiplicity 2)
Na (0.0826, 0.5000, 0.3689) (multiplicity 4)
Na (0.1565, 0.0000, 0.5839) (multiplicity 4)
Na (0.2149, 0.5000, 0.8881) (multiplicity 4)
Ca (0.0000, 0.5000, 0.0000) (multiplicity 2)
Bi (0.0634, 0.0000, 0.7786) (multiplicity 4)
Bi (0.1930, 0.0000, 0.3007) (multiplicity 4)

Values from the calculation:
spin magnetization: 0.00 μB per atom
crystal system: monoclinic
DFT formation energy: -0.20 eV/atom

---

# 10
First-principles (PBE) data for an optimized crystal structure of NaCa3Bi, as listed in the Alexandria database.

abc: 5.8192 5.8192 5.8192
angles: 90.00 90.00 90.00
Space group Pm-3m (No. 221)
Unique sites:
Na (0.0000, 0.0000, 0.0000) (multiplicity 1)
Ca (0.0000, 0.0000, 0.5000) (multiplicity 3)
Bi (0.5000, 0.5000, 0.5000) (multiplicity 1)

Values from the calculation:
spin magnetization: 0.00 μB per atom
crystal system: cubic
excess energy over the best structure of this formula in the dataset: 459 meV/atom
DFT formation energy: 0.27 eV/atom